No. 1
First-principles (GGA-PBE) data for an optimized crystal structure of CePu4Pa, as listed in Alexandria via LeMat-Bulk.

Size of the total moment: 13.6 μB per formula unit
Formation enthalpy at 0 K: 167 kJ/mol of formula units
V: 21.63 Å³ per atom
Final energy: -71.0 eV/cell
D(E_F): 3.44 states/eV per atom

Cell lengths 5.683, 5.683, 5.683 Å; angles 60.00, 60.00, 60.00 degrees
Site moments in Bohr magnetons follow the coordinates.
Fractional coordinates of all 6 atoms:
Pa 0.000 0.000 0.000  -0.35
Pu 0.625 0.126 0.625  3.59
Pu 0.625 0.625 0.126  3.59
Pu 0.126 0.625 0.625  3.59
Pu 0.625 0.625 0.625  3.59
Ce 0.250 0.250 0.250  -0.27



No. 2
First-principles (GGA-PBE) data for an optimized crystal structure of Ca2MgCdNi, as listed in Alexandria via LeMat-Bulk.

Size of the total moment: 0.0 μB per formula unit
Formation enthalpy at 0 K: -13 kJ/mol of formula units
Excess energy over the best structure of this formula in the dataset: 0.259 eV per formula unit
V: 28.54 Å³ per atom
Final energy: -12.4 eV/cell
D(E_F): 0.56 states/eV per atom

Cell lengths 5.330, 5.330, 5.024 Å; angles 90.00, 90.00, 90.00 degrees
Fractional coordinates of all 5 atoms:
Ni 0.000 0.000 0.000
Ca 0.000 0.500 0.000
Ca 0.500 0.000 0.000
Mg 0.500 0.500 0.500
Cd 0.000 0.000 0.500